# LiBeCoSb, optimized geometry, DFT PBE-GGA
data_LiBeCoSb
_space_group_name_H-M_alt 'F -4 3 m'
_space_group_IT_number 216
_space_group_name_Hall 'F -4 2 3'
_cell_length_a 5.881
_cell_length_b 5.881
_cell_length_c 5.881
_cell_angle_alpha 90.00
_cell_angle_beta 90.00
_cell_angle_gamma 90.00
loop_
_atom_site_label
_atom_site_type_symbol
_atom_site_fract_x
_atom_site_fract_y
_atom_site_fract_z
Li1 Li 0.000 0.000 0.000
Be1 Be 0.000 0.000 0.500
Co1 Co 0.250 0.250 0.750
Sb1 Sb 0.250 0.250 0.250
# E in eV per atom: -4.035